1.
Below is a relaxed structure of TaHg2N, with properties calculated at the PBE level.

The structure belongs to space group I-42d (No. 122); the cell edges are 9.239, 9.239 and 3.976 Å and the angles 90.00°, 90.00° and 90.00°. The distinct sites, in fractional coordinates, are Ta at (0.000, 0.000, 0.000), Hg at (0.135, 0.250, 0.625) and N at (0.000, 0.000, 0.500).

The relative energy among the computed polymorphs comes out at 0.00 eV per formula unit. The uncorrected energy is -4.6001 eV per atom. The energy relative to the elements, uncorrected comes out at 0.60 eV/atom.

=====

2.
Below is a relaxed structure of Ta3HgN, with properties calculated at the PBE level.

The structure belongs to space group P2_1/m (No. 11); the cell edges are 3.063, 9.203 and 5.831 Å and the angles 90.00°, 105.07° and 90.00°. The distinct sites, in fractional coordinates, are Ta at (0.021, 0.250, 0.038), Ta at (0.375, 0.020, 0.744), Hg at (0.246, 0.750, 0.500) and N at (0.000, 0.000, 0.000).

The uncorrected energy is -9.1646 eV per atom. The energy relative to the elements, uncorrected comes out at -0.33 eV/atom.

=====

3.
Below is a relaxed structure of Ta3HgN, with properties calculated at the PBE level.

The structure belongs to space group Pm-3m (No. 221); the cell edges are 4.294, 4.294 and 4.294 Å and the angles 90.00°, 90.00° and 90.00°. The distinct sites, in fractional coordinates, are Ta at (0.000, 0.000, 0.500), Hg at (0.500, 0.500, 0.500) and N at (0.000, 0.000, 0.000).

The uncorrected energy is -9.0362 eV per atom. The energy relative to the elements, uncorrected comes out at -0.20 eV/atom.

=====

4.
Below is a relaxed structure of TaHg2N, with properties calculated at the PBE level.

The structure belongs to space group Fm-3m (No. 225); the cell edges are 6.586, 6.586 and 6.586 Å and the angles 90.00°, 90.00° and 90.00°. The distinct sites, in fractional coordinates, are Ta at (0.000, 0.000, 0.000), Hg at (0.250, 0.250, 0.250) and N at (0.000, 0.000, 0.500).

The relative energy among the computed polymorphs comes out at 4.19 eV per formula unit. The uncorrected energy is -3.5521 eV per atom. The energy relative to the elements, uncorrected comes out at 1.64 eV/atom.

=====

The lowest energy relative to the elements, uncorrected belongs to which entry? number 2